1.
# Rb2Mg3TlSn4 GGA-PBE relaxed
# **VASP energy**: -2.66 eV per atom
data_Rb2Mg3TlSn4
_space_group_name_H-M_alt 'P 1'
_space_group_IT_number 1
_space_group_name_Hall 'P 1'
_cell_length_a 4.9229
_cell_length_b 4.9229
_cell_length_c 12.9154
_cell_angle_alpha 90.00
_cell_angle_beta 90.00
_cell_angle_gamma 90.00
loop_
_atom_site_label
_atom_site_type_symbol
_atom_site_fract_x
_atom_site_fract_y
_atom_site_fract_z
Tl1 Tl 0.5000 0.5000 0.5000
Rb1 Rb 0.5000 0.0000 0.2497
Sn1 Sn 0.5000 0.0000 0.6380
Sn2 Sn 0.0000 0.5000 0.3620
Mg1 Mg 0.0000 0.5000 0.1348
Mg2 Mg 0.5000 0.0000 0.8652
Sn3 Sn 0.0000 0.0000 0.0000
Mg3 Mg 0.0000 0.0000 0.5000
Rb2 Rb 0.0000 0.5000 0.7503
Sn4 Sn 0.5000 0.5000 0.0000

=====

2.
# KHgF2 GGA-PBE relaxed
# **Uncorrected formation energy**: -1613.3 meV/atom
data_KHgF2
_space_group_name_H-M_alt 'P 1'
_space_group_IT_number 1
_space_group_name_Hall 'P 1'
_cell_length_a 4.6620
_cell_length_b 4.6620
_cell_length_c 4.6620
_cell_angle_alpha 60.00
_cell_angle_beta 60.00
_cell_angle_gamma 60.00
loop_
_atom_site_label
_atom_site_type_symbol
_atom_site_fract_x
_atom_site_fract_y
_atom_site_fract_z
Hg1 Hg 0.5000 0.5000 0.5000
F1 F 0.2500 0.2500 0.2500
F2 F 0.7500 0.7500 0.7500
K1 K 0.0000 0.0000 0.0000

=====

3.
# BiSbPd5 GGA-PBE relaxed
# **Uncorrected formation energy**: -303.7 meV/atom
data_BiSbPd5
_space_group_name_H-M_alt 'P 1'
_space_group_IT_number 1
_space_group_name_Hall 'P 1'
_cell_length_a 4.8278
_cell_length_b 4.8278
_cell_length_c 11.1132
_cell_angle_alpha 90.00
_cell_angle_beta 90.00
_cell_angle_gamma 80.47
loop_
_atom_site_label
_atom_site_type_symbol
_atom_site_fract_x
_atom_site_fract_y
_atom_site_fract_z
Pd1 Pd 0.8510 0.5512 0.3912
Pd2 Pd 0.5512 0.8510 0.8912
Bi1 Bi 0.6252 0.3748 0.7500
Bi2 Bi 0.3748 0.6252 0.2500
Pd3 Pd 0.4487 0.1490 0.3912
Pd4 Pd 0.1490 0.4488 0.6088
Pd5 Pd 0.4488 0.1490 0.1088
Pd6 Pd 0.0584 0.9416 0.7500
Pd7 Pd 0.9416 0.0584 0.2500
Pd8 Pd 0.8510 0.5513 0.1088
Sb1 Sb 0.0000 0.0000 0.0000
Sb2 Sb 0.0000 0.0000 0.5000
Pd9 Pd 0.5513 0.8510 0.6088
Pd10 Pd 0.1490 0.4487 0.8912

=====

4.
# Li2Ag7Sb2Pd GGA-PBE relaxed
# **Uncorrected formation energy**: -96.5 meV/atom
data_Li2Ag7Sb2Pd
_space_group_name_H-M_alt 'P 1'
_space_group_IT_number 1
_space_group_name_Hall 'P 1'
_cell_length_a 4.1910
_cell_length_b 4.1910
_cell_length_c 14.2248
_cell_angle_alpha 72.91
_cell_angle_beta 72.91
_cell_angle_gamma 90.23
loop_
_atom_site_label
_atom_site_type_symbol
_atom_site_fract_x
_atom_site_fract_y
_atom_site_fract_z
Ag1 Ag 0.1535 0.6534 0.8464
Ag2 Ag 0.2458 0.2458 0.4997
Sb1 Sb 0.6931 0.6931 0.3072
Ag3 Ag 0.3466 0.8465 0.1536
Ag4 Ag 0.6534 0.1535 0.8464
Li1 Li 0.1865 0.1865 0.3137
Ag5 Ag 0.7542 0.7542 0.5003
Li2 Li 0.8135 0.8135 0.6863
Pd1 Pd 0.0000 0.0000 0.0000
Ag6 Ag 0.5000 0.5000 0.0000
Ag7 Ag 0.8465 0.3466 0.1536
Sb2 Sb 0.3069 0.3069 0.6928

=====

5.
# Hf3NiSn GGA-PBE relaxed
# **VASP energy**: -7.98 eV per atom
data_Hf3NiSn
_space_group_name_H-M_alt 'P 1'
_space_group_IT_number 1
_space_group_name_Hall 'P 1'
_cell_length_a 4.8084
_cell_length_b 4.8084
_cell_length_c 4.8084
_cell_angle_alpha 90.00
_cell_angle_beta 90.00
_cell_angle_gamma 90.00
loop_
_atom_site_label
_atom_site_type_symbol
_atom_site_fract_x
_atom_site_fract_y
_atom_site_fract_z
Ni1 Ni 0.0000 0.0000 0.0000
Sn1 Sn 0.5000 0.5000 0.5000
Hf1 Hf 0.0000 0.5000 0.0000
Hf2 Hf 0.0000 0.0000 0.5000
Hf3 Hf 0.5000 0.0000 0.0000

=====

6.
# In4Cu GGA-PBE relaxed
# **VASP energy**: -2.65 eV per atom
data_In4Cu
_space_group_name_H-M_alt 'P 1'
_space_group_IT_number 1
_space_group_name_Hall 'P 1'
_cell_length_a 8.5266
_cell_length_b 8.5266
_cell_length_c 8.5266
_cell_angle_alpha 152.12
_cell_angle_beta 152.12
_cell_angle_gamma 39.84
loop_
_atom_site_label
_atom_site_type_symbol
_atom_site_fract_x
_atom_site_fract_y
_atom_site_fract_z
In1 In 0.5896 0.5896 0.0000
In2 In 0.2500 0.7500 0.5000
Cu1 Cu 0.0000 0.0000 0.0000
In3 In 0.7500 0.2500 0.5000
In4 In 0.4104 0.4104 0.0000

=====

7.
# LiCrRe2Br GGA-PBE relaxed
# **Uncorrected formation energy**: 1514.2 meV/atom
data_LiCrRe2Br
_space_group_name_H-M_alt 'P 1'
_space_group_IT_number 1
_space_group_name_Hall 'P 1'
_cell_length_a 4.4702
_cell_length_b 5.7695
_cell_length_c 4.4702
_cell_angle_alpha 90.00
_cell_angle_beta 90.00
_cell_angle_gamma 90.00
loop_
_atom_site_label
_atom_site_type_symbol
_atom_site_fract_x
_atom_site_fract_y
_atom_site_fract_z
Cr1 Cr 0.0000 0.0000 0.0000
Re1 Re 0.0000 0.0000 0.5000
Li1 Li 0.0000 0.5000 0.0000
Re2 Re 0.5000 0.0000 0.0000
Br1 Br 0.5000 0.5000 0.5000

=====

8.
# Rb2Tl10Cd GGA-PBE relaxed
# **VASP energy**: -1.99 eV per atom
data_Rb2Tl10Cd
_space_group_name_H-M_alt 'P 1'
_space_group_IT_number 1
_space_group_name_Hall 'P 1'
_cell_length_a 7.1691
_cell_length_b 12.8929
_cell_length_c 11.5306
_cell_angle_alpha 90.00
_cell_angle_beta 90.00
_cell_angle_gamma 90.00
loop_
_atom_site_label
_atom_site_type_symbol
_atom_site_fract_x
_atom_site_fract_y
_atom_site_fract_z
Tl1 Tl 0.2700 0.8184 0.9375
Tl2 Tl 0.7300 0.6816 0.4375
Tl3 Tl 0.0000 0.1965 0.8148
Tl4 Tl 0.0000 0.4421 0.7572
Tl5 Tl 0.7300 0.8184 0.9375
Rb1 Rb 0.5000 0.1034 0.3549
Tl6 Tl 0.0000 0.6965 0.6852
Tl7 Tl 0.0000 0.5579 0.2428
Tl8 Tl 0.2700 0.6816 0.4375
Rb2 Rb 0.5000 0.8966 0.6451
Tl9 Tl 0.0000 0.9421 0.7428
Tl10 Tl 0.0000 0.8035 0.1852
Tl11 Tl 0.0000 0.0579 0.2572
Cd1 Cd 0.0000 0.0000 0.0000
Tl12 Tl 0.0000 0.1192 0.5400
Tl13 Tl 0.0000 0.6192 0.9600
Tl14 Tl 0.7300 0.1816 0.0625
Tl15 Tl 0.7300 0.3184 0.5625
Tl16 Tl 0.0000 0.3035 0.3148
Tl17 Tl 0.2700 0.1816 0.0625
Rb3 Rb 0.5000 0.6034 0.1451
Tl18 Tl 0.0000 0.3808 0.0400
Tl19 Tl 0.0000 0.8808 0.4600
Rb4 Rb 0.5000 0.3966 0.8549
Tl20 Tl 0.2700 0.3184 0.5625
Cd2 Cd 0.0000 0.5000 0.5000

=====

Total magnetic moment (computed, μB/f.u.): 0.0 0.0 0.0 0.0 0.0 0.0 2.4 0.0